YPuNi2O6 | PBE+U | optimized geometry

## Properties
**E_tot**: -0.5736 Ry per atom
**Space group**: R3 (146)

Cell lengths 5.4319, 5.4312, 5.8189 Å; angles 62.16, 62.16, 60.00 degrees
Each line ends with the local moment (μB).
Positions (direct):
O 0.7250 0.1365 0.7552  0.12
O 0.1367 0.3834 0.7550  0.12
O 0.6154 0.2348 0.2445  0.13
O 0.2348 0.9053 0.2446  0.13
O 0.3833 0.7250 0.7551  0.12
O 0.9053 0.6152 0.2447  0.13
Y 0.8083 0.8084 0.5750  0.00
Pu 0.3177 0.3178 0.0467  -3.35
Ni 0.0135 0.0136 0.9594  1.76
Ni 0.5215 0.5216 0.4351  1.76